Here is YSb after structural relaxation from Alexandria. Energies are from PBE.

**Space group**: Pm-3n, No. 223
**Uncorrected formation energy**: -0.5738 eV/atom

Cell lengths 8.5067, 8.5067, 8.5067 Å; angles 90.00, 90.00, 90.00 degrees
With the nearest neighbours (Å) after each atom.
Sites, in units of the cell vectors:
Sb  0.0000  0.5000  0.7500  4 Y 3.01
Sb  0.0000  0.5000  0.2500  4 Y 3.01
Sb  0.7500  0.0000  0.5000  4 Y 3.01
Y  0.0000  0.2500  0.5000  4 Sb 3.01
Y  0.2500  0.5000  0.0000  4 Sb 3.01
Y  0.7500  0.5000  0.0000  4 Sb 3.01
Sb  0.5000  0.7500  0.0000  4 Y 3.01
Sb  0.5000  0.2500  0.0000  4 Y 3.01
Y  0.5000  0.0000  0.7500  4 Sb 3.01
Sb  0.2500  0.0000  0.5000  4 Y 3.01
Y  0.5000  0.0000  0.2500  4 Sb 3.01
Y  0.0000  0.7500  0.5000  4 Sb 3.01